(1)
Material: AcCdIn
Method: DFT, PBE-GGA
State: relaxed

Properties
DOS(E_F), states/eV/cell: 6.6
ΔE to the lowest computed polymorph, meV per atom: 0
Formation enthalpy at 0 K, kJ/mol of formula units: -125

The structure in CIF format:
```
data_AcCdIn
_space_group_name_H-M_alt 'C 1 2/m 1'
_space_group_IT_number 12
_cell_length_a 11.869
_cell_length_b 5.129
_cell_length_c 8.169
_cell_angle_alpha 90.00
_cell_angle_beta 133.03
_cell_angle_gamma 90.00
loop_
_space_group_symop_operation_xyz
'x,y,z'
'-x,-y,-z'
'-x,y,-z'
'x,-y,z'
'x+1/2,y+1/2,z'
'-x+1/2,-y+1/2,-z'
'-x+1/2,y+1/2,-z'
'x+1/2,-y+1/2,z'
loop_
_atom_site_label
_atom_site_type_symbol
_atom_site_fract_x
_atom_site_fract_y
_atom_site_fract_z
Ac1 Ac 0.034 0.000 0.286
Cd1 Cd 0.163 0.500 0.715
In1 In 0.165 0.500 0.116
```


(2)
Material: Ac2Cd5In
Method: DFT, PBE-GGA
State: relaxed

Properties
DOS(E_F), states/eV/cell: 14.8
ΔE to the lowest computed polymorph, meV per atom: 103
Formation enthalpy at 0 K, kJ/mol of formula units: -171

The structure in CIF format:
```
data_Ac2Cd5In
_space_group_name_H-M_alt 'I 4 m m'
_space_group_IT_number 107
_space_group_name_Hall 'I 4 -2'
_cell_length_a 7.032
_cell_length_b 7.032
_cell_length_c 9.495
_cell_angle_alpha 90.00
_cell_angle_beta 90.00
_cell_angle_gamma 90.00
loop_
_atom_site_label
_atom_site_type_symbol
_atom_site_fract_x
_atom_site_fract_y
_atom_site_fract_z
Ac1 Ac 0.000 0.500 0.000
Cd1 Cd 0.000 0.000 0.063
Cd2 Cd 0.224 0.224 0.751
In1 In 0.000 0.000 0.460
```


(3)
Material: Ac2Cd3In4
Method: DFT, PBE-GGA
State: relaxed

Properties
DOS(E_F), states/eV/cell: 22.7
Formation enthalpy at 0 K, kJ/mol of formula units: -275

The structure in CIF format:
```
data_Ac2Cd3In4
_space_group_name_H-M_alt 'C m c e'
_space_group_IT_number 64
_space_group_name_Hall '-C 2ac 2'
_cell_length_a 6.590
_cell_length_b 17.273
_cell_length_c 8.895
_cell_angle_alpha 90.00
_cell_angle_beta 90.00
_cell_angle_gamma 90.00
loop_
_atom_site_label
_atom_site_type_symbol
_atom_site_fract_x
_atom_site_fract_y
_atom_site_fract_z
Ac1 Ac 0.000 0.109 0.093
Cd1 Cd 0.000 0.000 0.500
Cd2 Cd 0.250 0.228 0.750
In1 In 0.000 0.176 0.479
In2 In 0.250 0.059 0.750
```


(4)
Material: AcCd4In2
Method: DFT, PBE-GGA
State: relaxed

Properties
DOS(E_F), states/eV/cell: 3.7
ΔE to the lowest computed polymorph, meV per atom: 0
Formation enthalpy at 0 K, kJ/mol of formula units: -144

The structure in CIF format:
```
data_AcCd4In2
_space_group_name_H-M_alt 'C m m m'
_space_group_IT_number 65
_space_group_name_Hall '-C 2 2'
_cell_length_a 4.704
_cell_length_b 16.778
_cell_length_c 4.655
_cell_angle_alpha 90.00
_cell_angle_beta 90.00
_cell_angle_gamma 90.00
loop_
_atom_site_label
_atom_site_type_symbol
_atom_site_fract_x
_atom_site_fract_y
_atom_site_fract_z
Ac1 Ac 0.000 0.000 0.000
Cd1 Cd 0.000 0.186 0.500
Cd2 Cd 0.000 0.309 0.000
In1 In 0.000 0.416 0.500
```


no.,ρ (Mg/m³),total moment (μB/atom),final energy (eV per atom)
1,8.30,0.00,-3.02
2,8.00,0.00,-2.16
3,8.20,0.00,-2.75
4,8.19,0.00,-2.10